LaPr2SnN4: relaxed, PBE.

Lattice parameters (Å, degrees): 3.702 12.225 12.551 90.00 90.00 90.00
Space group Cmcm (No. 63)
Symmetry-distinct sites (fractional):
La 0.000 0.110 0.250 x4
Pr 0.000 0.371 0.038 x8
Sn 0.000 0.155 0.750 x4
N 0.000 0.000 0.000 x4
N 0.000 0.274 0.629 x8
N 0.000 0.439 0.250 x4

Results
Calculated density: 7.0 g/cm3
E: -7.238 eV per atom
Volume: 142 Å³/f.u.
Total magnetization: 0.00 μB per cell
Fermi-level density of states: 0.21 states/eV/atom

KSrPd2Pb: relaxed, PBE.

Lattice parameters (Å, degrees): 5.261 5.261 5.719 90.00 90.00 90.00
Space group P4/mmm (No. 123)
Symmetry-distinct sites (fractional):
K 0.000 0.000 0.000 x1
Sr 0.500 0.500 0.500 x1
Pd 0.000 0.500 0.000 x2
Pb 0.000 0.000 0.500 x1

Results
Calculated density: 5.7 g/cm3
E: -2.761 eV per atom
Volume: 158 Å³/f.u.
Total magnetization: 0.00 μB per cell
Fermi-level density of states: 0.71 states/eV/atom
Energy relative to the elements: 0.61 eV per atom